(1)
# TbGaHg2 (GGA-PBE, relaxed)
data_TbGaHg2
_space_group_name_H-M_alt 'P 1'
_space_group_IT_number 1
_space_group_name_Hall 'P 1'
_cell_length_a 3.780
_cell_length_b 3.780
_cell_length_c 6.646
_cell_angle_alpha 90.00
_cell_angle_beta 90.00
_cell_angle_gamma 90.00
loop_
_atom_site_label
_atom_site_fract_x
_atom_site_fract_y
_atom_site_fract_z
Tb1 0.500 0.500 0.000
Hg1 0.000 0.000 0.738
Hg2 0.000 0.000 0.262
Ga1 0.500 0.500 0.500
# * formation enthalpy at 0 K: -0.260 eV per atom
# * symmetry: P4/mmm

(2)
# Tb4GaHgTe2 (GGA-PBE, relaxed)
data_Tb4GaHgTe2
_space_group_name_H-M_alt 'P 1'
_space_group_IT_number 1
_space_group_name_Hall 'P 1'
_cell_length_a 4.156
_cell_length_b 7.198
_cell_length_c 8.012
_cell_angle_alpha 107.34
_cell_angle_beta 90.00
_cell_angle_gamma 90.00
loop_
_atom_site_label
_atom_site_fract_x
_atom_site_fract_y
_atom_site_fract_z
Tb1 0.500 0.254 0.245
Tb2 0.500 0.746 0.755
Tb3 0.000 0.260 0.761
Tb4 0.000 0.740 0.239
Ga1 0.500 0.500 0.000
Hg1 0.000 0.000 0.000
Te1 0.500 0.000 0.500
Te2 0.000 0.500 0.500
# * symmetry: P2/m
# * total energy: -4.42 eV per atom

(3)
# TbThGaHg (GGA-PBE, relaxed)
data_TbThGaHg
_space_group_name_H-M_alt 'P 1'
_space_group_IT_number 1
_space_group_name_Hall 'P 1'
_cell_length_a 5.273
_cell_length_b 5.273
_cell_length_c 5.273
_cell_angle_alpha 60.00
_cell_angle_beta 60.00
_cell_angle_gamma 60.00
loop_
_atom_site_label
_atom_site_fract_x
_atom_site_fract_y
_atom_site_fract_z
Ga1 0.250 0.250 0.250
Tb1 0.500 0.500 0.500
Hg1 0.750 0.750 0.750
Th1 0.000 0.000 0.000
# * formation enthalpy at 0 K: -0.390 eV per atom
# * symmetry: F-43m

(4)
# TbTiGaHg (GGA-PBE, relaxed)
data_TbTiGaHg
_space_group_name_H-M_alt 'P 1'
_space_group_IT_number 1
_space_group_name_Hall 'P 1'
_cell_length_a 4.949
_cell_length_b 4.949
_cell_length_c 4.949
_cell_angle_alpha 60.00
_cell_angle_beta 60.00
_cell_angle_gamma 60.00
loop_
_atom_site_label
_atom_site_fract_x
_atom_site_fract_y
_atom_site_fract_z
Tb1 0.750 0.750 0.750
Hg1 0.000 0.000 0.000
Ga1 0.500 0.500 0.500
Ti1 0.250 0.250 0.250
# * formation enthalpy at 0 K: -0.252 eV per atom
# * symmetry: F-43m

(5)
# Tb4TlGaHg2 (GGA-PBE, relaxed)
data_Tb4TlGaHg2
_space_group_name_H-M_alt 'P 1'
_space_group_IT_number 1
_space_group_name_Hall 'P 1'
_cell_length_a 5.267
_cell_length_b 5.267
_cell_length_c 9.130
_cell_angle_alpha 73.23
_cell_angle_beta 73.23
_cell_angle_gamma 60.00
loop_
_atom_site_label
_atom_site_fract_x
_atom_site_fract_y
_atom_site_fract_z
Tb1 0.380 0.380 0.861
Tb2 0.871 0.871 0.388
Tb3 0.129 0.129 0.612
Tb4 0.620 0.620 0.139
Tl1 0.000 0.000 0.000
Ga1 0.500 0.500 0.500
Hg1 0.748 0.748 0.755
Hg2 0.252 0.252 0.245
# * formation enthalpy at 0 K: -0.468 eV per atom
# * symmetry: R-3m

(6)
# TbTlGaHg (GGA-PBE, relaxed)
data_TbTlGaHg
_space_group_name_H-M_alt 'P 1'
_space_group_IT_number 1
_space_group_name_Hall 'P 1'
_cell_length_a 5.191
_cell_length_b 5.191
_cell_length_c 5.191
_cell_angle_alpha 60.00
_cell_angle_beta 60.00
_cell_angle_gamma 60.00
loop_
_atom_site_label
_atom_site_fract_x
_atom_site_fract_y
_atom_site_fract_z
Tl1 0.250 0.250 0.250
Tb1 0.750 0.750 0.750
Hg1 0.000 0.000 0.000
Ga1 0.500 0.500 0.500
# * formation enthalpy at 0 K: -0.187 eV per atom
# * symmetry: F-43m

(7)
# TbTmGaHg (GGA-PBE, relaxed)
data_TbTmGaHg
_space_group_name_H-M_alt 'P 1'
_space_group_IT_number 1
_space_group_name_Hall 'P 1'
_cell_length_a 3.607
_cell_length_b 3.607
_cell_length_c 7.371
_cell_angle_alpha 90.00
_cell_angle_beta 90.00
_cell_angle_gamma 90.00
loop_
_atom_site_label
_atom_site_fract_x
_atom_site_fract_y
_atom_site_fract_z
Tb1 0.000 0.000 0.842
Tm1 0.000 0.000 0.369
Ga1 0.500 0.500 0.600
Hg1 0.500 0.500 0.117
# * energy above the most stable polymorph in this dataset: 0.0 kJ/mol of atoms
# * formation enthalpy at 0 K: -0.529 eV per atom
# * symmetry: P4mm

(8)
# TbTmGaHg (GGA-PBE, relaxed)
data_TbTmGaHg
_space_group_name_H-M_alt 'P 1'
_space_group_IT_number 1
_space_group_name_Hall 'P 1'
_cell_length_a 5.157
_cell_length_b 5.157
_cell_length_c 5.157
_cell_angle_alpha 60.00
_cell_angle_beta 60.00
_cell_angle_gamma 60.00
loop_
_atom_site_label
_atom_site_fract_x
_atom_site_fract_y
_atom_site_fract_z
Tm1 0.000 0.000 0.000
Tb1 0.500 0.500 0.500
Hg1 0.250 0.250 0.250
Ga1 0.750 0.750 0.750
# * energy above the most stable polymorph in this dataset: 2.3 kJ/mol of atoms
# * formation enthalpy at 0 K: -0.505 eV per atom
# * symmetry: F-43m

(9)
# TbYGaHg (GGA-PBE, relaxed)
data_TbYGaHg
_space_group_name_H-M_alt 'P 1'
_space_group_IT_number 1
_space_group_name_Hall 'P 1'
_cell_length_a 5.193
_cell_length_b 5.193
_cell_length_c 5.193
_cell_angle_alpha 60.00
_cell_angle_beta 60.00
_cell_angle_gamma 60.00
loop_
_atom_site_label
_atom_site_fract_x
_atom_site_fract_y
_atom_site_fract_z
Y1 0.750 0.750 0.750
Tb1 0.250 0.250 0.250
Hg1 0.500 0.500 0.500
Ga1 0.000 0.000 0.000
# * energy above the most stable polymorph in this dataset: 1.7 kJ/mol of atoms
# * formation enthalpy at 0 K: -0.528 eV per atom
# * symmetry: F-43m

(10)
# TbYGaHg (GGA-PBE, relaxed)
data_TbYGaHg
_space_group_name_H-M_alt 'P 1'
_space_group_IT_number 1
_space_group_name_Hall 'P 1'
_cell_length_a 3.633
_cell_length_b 3.633
_cell_length_c 7.438
_cell_angle_alpha 90.00
_cell_angle_beta 90.00
_cell_angle_gamma 90.00
loop_
_atom_site_label
_atom_site_fract_x
_atom_site_fract_y
_atom_site_fract_z
Tb1 0.000 0.000 0.844
Y1 0.000 0.000 0.370
Ga1 0.500 0.500 0.606
Hg1 0.500 0.500 0.108
# * energy above the most stable polymorph in this dataset: 0.0 kJ/mol of atoms
# * formation enthalpy at 0 K: -0.545 eV per atom
# * symmetry: P4mm

(11)
# GaTc3Hg (GGA-PBE, relaxed)
data_GaTc3Hg
_space_group_name_H-M_alt 'P 1'
_space_group_IT_number 1
_space_group_name_Hall 'P 1'
_cell_length_a 4.595
_cell_length_b 4.595
_cell_length_c 4.595
_cell_angle_alpha 90.00
_cell_angle_beta 90.00
_cell_angle_gamma 90.00
loop_
_atom_site_label
_atom_site_fract_x
_atom_site_fract_y
_atom_site_fract_z
Hg1 0.500 0.500 0.500
Ga1 0.000 0.000 0.000
Tc1 0.000 0.500 0.000
Tc2 0.000 0.000 0.500
Tc3 0.500 0.000 0.000
# * energy above the most stable polymorph in this dataset: 0.0 kJ/mol of atoms
# * formation enthalpy at 0 K: 1.457 eV per atom
# * symmetry: Pm-3m

(12)
# GaTcHg3 (GGA-PBE, relaxed)
data_GaTcHg3
_space_group_name_H-M_alt 'P 1'
_space_group_IT_number 1
_space_group_name_Hall 'P 1'
_cell_length_a 5.320
_cell_length_b 5.320
_cell_length_c 5.320
_cell_angle_alpha 90.00
_cell_angle_beta 90.00
_cell_angle_gamma 90.00
loop_
_atom_site_label
_atom_site_fract_x
_atom_site_fract_y
_atom_site_fract_z
Hg1 0.000 0.500 0.000
Hg2 0.000 0.000 0.500
Hg3 0.500 0.000 0.000
Ga1 0.500 0.500 0.500
Tc1 0.000 0.000 0.000
# * energy above the most stable polymorph in this dataset: 56.8 kJ/mol of atoms
# * formation enthalpy at 0 K: 0.729 eV per atom
# * symmetry: Pm-3m

(13)
# GaTcHg3 (GGA-PBE, relaxed)
data_GaTcHg3
_space_group_name_H-M_alt 'P 1'
_space_group_IT_number 1
_space_group_name_Hall 'P 1'
_cell_length_a 5.501
_cell_length_b 5.514
_cell_length_c 8.349
_cell_angle_alpha 81.69
_cell_angle_beta 81.44
_cell_angle_gamma 62.39
loop_
_atom_site_label
_atom_site_fract_x
_atom_site_fract_y
_atom_site_fract_z
Ga1 0.944 0.747 0.282
Ga2 0.411 0.215 0.336
Tc1 0.853 0.155 0.427
Tc2 0.005 0.306 0.189
Hg1 0.480 0.796 0.108
Hg2 0.731 0.215 0.967
Hg3 0.363 0.680 0.508
Hg4 0.945 0.421 0.654
Hg5 0.538 0.005 0.722
Hg6 0.152 0.626 0.893
# * energy above the most stable polymorph in this dataset: 3.4 kJ/mol of atoms
# * formation enthalpy at 0 K: 0.175 eV per atom
# * symmetry: P1